A geometry-optimized ScHg2Ir structure, computed with GGA-PBEsol.

a = 4.1360 Å, b = 4.1803 Å, c = 5.0868 Å
α = 114.26°, β = 113.99°, γ = 90.00°
Closest atoms and distances in Å follow each position.
Fractional positions:
Hg 0.9992 0.4992 0.9985  4 Sc 2.94, 4 Hg 2.94, 4 Ir 2.94
Ir 0.5025 0.0025 0.0049  4 Sc 2.90-2.97, 8 Hg 2.94
Hg 0.7508 0.7508 0.5015  4 Ir 2.94, 4 Hg 2.94, 4 Sc 2.94
Sc 0.2475 0.2475 0.4951  4 Ir 2.90-2.97, 8 Hg 2.94

Summary:
- Formation energy: -240 meV per atom
- Density: 14.77 Mg/m³
- Symmetry: Imm2
- N(E_F): 0.589 states/eV/atom